AcGd2Tm PBE optimized geometry; space-group type = Fm-3m (225); ΔE to the lowest computed polymorph = 7.4 kJ per mole of atoms; magnetization = 16.3 μB/f.u.; calculated density = 8442 kg/m³; formation enthalpy at 0 K = 0.125 eV/atom; VASP energy = -9.0602 eV per atom
1.0
0.000 4.119 4.119
4.119 0.000 4.119
4.119 4.119 0.000
Ac Gd Tm
1 2 1
direct
0.000 0.000 0.000
0.250 0.250 0.250
0.750 0.750 0.750
0.500 0.500 0.500